Record 1
The following is a PBE calculation of a relaxed structure of LaSnSe2F, from the Alexandria database.

Unit cell a=5.487 b=5.487 c=4.334 alpha=90.00 beta=90.00 gamma=90.00
Space group P4/mmm (No. 123)
Unique sites:
La: 0.000 0.000 0.000 (multiplicity 1)
Sn: 0.500 0.500 0.500 (multiplicity 1)
Se: 0.000 0.500 0.500 (multiplicity 2)
F: 0.500 0.500 0.000 (multiplicity 1)

## Properties
M_tot (μB/f.u.): 0.00
Uncorrected formation energy (eV/atom): -1.38
Uncorrected energy (eV for the cell shown): -24.690

---

Record 2
The following is a PBE calculation of a relaxed structure of SrLaSe2F, from the Alexandria database.

Unit cell a=4.265 b=4.265 c=14.884 alpha=90.00 beta=90.00 gamma=90.00
Space group P4/nmm (No. 129, origin choice 2)
Unique sites:
Sr: 0.250 0.250 0.092 (multiplicity 2)
La: 0.250 0.250 0.628 (multiplicity 2)
Se: 0.250 0.250 0.408 (multiplicity 2)
Se: 0.250 0.250 0.812 (multiplicity 2)
F: 0.250 0.750 0.000 (multiplicity 2)

## Properties
M_tot (μB/f.u.): 0.00
Uncorrected formation energy (eV/atom): -2.54
Uncorrected energy (eV for the cell shown): -56.281

---

Record 3
The following is a PBE calculation of a relaxed structure of LaZrSe2F, from the Alexandria database.

Unit cell a=5.764 b=5.764 c=4.378 alpha=90.00 beta=90.00 gamma=90.00
Space group P4/mmm (No. 123)
Unique sites:
La: 0.000 0.000 0.000 (multiplicity 1)
Zr: 0.500 0.500 0.500 (multiplicity 1)
Se: 0.000 0.500 0.000 (multiplicity 2)
F: 0.000 0.000 0.500 (multiplicity 1)

## Properties
M_tot (μB/f.u.): 2.00
Uncorrected formation energy (eV/atom): -1.32
Uncorrected energy (eV for the cell shown): -28.934

---

Record 4
The following is a PBE calculation of a relaxed structure of LaSiF2, from the Alexandria database.

Unit cell a=4.483 b=4.483 c=16.099 alpha=90.00 beta=90.00 gamma=90.00
Space group I-42d (No. 122)
Unique sites:
La: 0.000 0.000 0.000 (multiplicity 4)
Si: 0.000 0.000 0.500 (multiplicity 4)
F: 0.190 0.250 0.125 (multiplicity 8)

## Properties
M_tot (μB/f.u.): 0.85
Uncorrected formation energy (eV/atom): -1.95
Uncorrected energy (eV for the cell shown): -87.591

---

Record 5
The following is a PBE calculation of a relaxed structure of LaSi2F, from the Alexandria database.

Unit cell a=3.552 b=3.552 c=23.977 alpha=90.00 beta=90.00 gamma=90.00
Space group I-42d (No. 122)
Unique sites:
La: 0.000 0.000 0.000 (multiplicity 4)
Si: 0.246 0.750 0.125 (multiplicity 8)
F: 0.000 0.000 0.500 (multiplicity 4)

## Properties
M_tot (μB/f.u.): 0.00
Uncorrected formation energy (eV/atom): -1.22
Uncorrected energy (eV for the cell shown): -90.070

---

Record 6
The following is a PBE calculation of a relaxed structure of LaSiF3, from the Alexandria database.

Unit cell a=4.738 b=4.738 c=4.738 alpha=90.00 beta=90.00 gamma=90.00
Space group Pm-3m (No. 221)
Unique sites:
La: 0.000 0.000 0.000 (multiplicity 1)
Si: 0.500 0.500 0.500 (multiplicity 1)
F: 0.000 0.000 0.500 (multiplicity 3)

## Properties
M_tot (μB/f.u.): 2.00
Uncorrected formation energy (eV/atom): -2.39
Uncorrected energy (eV for the cell shown): -27.893

---

Record 7
The following is a PBE calculation of a relaxed structure of LaSiF2, from the Alexandria database.

Unit cell a=4.0492 b=4.0492 c=18.0311 alpha=90.00 beta=90.00 gamma=120.00
Space group R-3m (No. 166, hexagonal axes)
Unique sites:
La: 0.0000 0.0000 0.0000 (multiplicity 3)
Si: 0.0000 0.0000 0.5000 (multiplicity 3)
F: 0.0000 0.0000 0.3013 (multiplicity 6)

## Properties
M_tot (μB/f.u.): 0.79
Uncorrected formation energy (eV/atom): -2.14
Uncorrected energy (eV for the cell shown): -67.905

---

Record 8
The following is a PBE calculation of a relaxed structure of La2SiF, from the Alexandria database.

Unit cell a=5.862 b=5.862 c=13.828 alpha=90.00 beta=90.00 gamma=90.00
Space group I-42d (No. 122)
Unique sites:
La: 0.206 0.250 0.125 (multiplicity 8)
Si: 0.000 0.000 0.500 (multiplicity 4)
F: 0.000 0.000 0.000 (multiplicity 4)

## Properties
M_tot (μB/f.u.): 0.64
Uncorrected formation energy (eV/atom): -1.32
Uncorrected energy (eV for the cell shown): -89.723